DFT (PBE) results for crystalline MgSc3Os at its relaxed geometry.

ΔE_f, meV/atom: 9
VASP energy, eV/atom: -6.355
E above lowest polymorph, meV per atom: 244

a = 5.068 Å, b = 5.068 Å, c = 5.068 Å
α = 90.00°, β = 90.00°, γ = 90.00°
Space group Pm-3m (No. 221)
Asymmetric unit:
Mg (0.000, 0.000, 0.000)
Sc (0.000, 0.500, 0.500)
Os (0.500, 0.500, 0.500)



DFT (PBE) results for crystalline MgScOs at its relaxed geometry.

ΔE_f, meV/atom: 204
VASP energy, eV/atom: -6.182

a = 6.299 Å, b = 6.299 Å, c = 6.299 Å
α = 90.00°, β = 90.00°, γ = 90.00°
Space group F-43m (No. 216)
Asymmetric unit:
Mg (0.000, 0.000, 0.000)
Sc (0.000, 0.000, 0.500)
Os (0.250, 0.250, 0.250)



DFT (PBE) results for crystalline Mg2ScOs at its relaxed geometry.

ΔE_f, meV/atom: 240
VASP energy, eV/atom: -4.947
E above lowest polymorph, meV per atom: 334

a = 2.914 Å, b = 2.914 Å, c = 8.942 Å
α = 90.00°, β = 90.00°, γ = 90.00°
Space group P4/mmm (No. 123)
Asymmetric unit:
Mg (0.000, 0.000, 0.210)
Sc (0.500, 0.500, 0.500)
Os (0.500, 0.500, 0.000)



DFT (PBE) results for crystalline MgSc6Os5 at its relaxed geometry.

ΔE_f, meV/atom: -339
VASP energy, eV/atom: -8.317

a = 4.594 Å, b = 6.532 Å, c = 7.268 Å
α = 90.00°, β = 108.35°, γ = 90.00°
Space group P2/m (No. 10)
Asymmetric unit:
Mg (0.000, 0.000, 0.000)
Sc (0.173, 0.256, 0.346)
Sc (0.500, 0.267, 0.000)
Os (0.000, 0.500, 0.000)
Os (0.333, 0.500, 0.667)
Os (0.339, 0.000, 0.678)



DFT (PBE) results for crystalline Mg3Sc4Os at its relaxed geometry.

ΔE_f, meV/atom: -186
VASP energy, eV/atom: -5.354

a = 3.263 Å, b = 3.263 Å, c = 16.413 Å
α = 90.00°, β = 90.00°, γ = 90.00°
Space group P4/mmm (No. 123)
Asymmetric unit:
Mg (0.000, 0.000, 0.000)
Mg (0.000, 0.000, 0.266)
Sc (0.500, 0.500, 0.134)
Sc (0.500, 0.500, 0.407)
Os (0.000, 0.000, 0.500)



DFT (PBE) results for crystalline Mg2ScOs at its relaxed geometry.

ΔE_f, meV/atom: -47
VASP energy, eV/atom: -5.234
E above lowest polymorph, meV per atom: 47

a = 6.602 Å, b = 6.602 Å, c = 6.602 Å
α = 90.00°, β = 90.00°, γ = 90.00°
Space group F-43m (No. 216)
Asymmetric unit:
Mg (0.000, 0.000, 0.000)
Mg (0.250, 0.250, 0.250)
Sc (0.000, 0.000, 0.500)
Os (0.250, 0.250, 0.750)



DFT (PBE) results for crystalline SmMgScOs at its relaxed geometry.

ΔE_f, meV/atom: -114
VASP energy, eV/atom: -6.083

a = 6.947 Å, b = 6.947 Å, c = 6.947 Å
α = 90.00°, β = 90.00°, γ = 90.00°
Space group F-43m (No. 216)
Asymmetric unit:
Sm (0.000, 0.000, 0.000)
Mg (0.250, 0.250, 0.750)
Sc (0.000, 0.000, 0.500)
Os (0.250, 0.250, 0.250)



DFT (PBE) results for crystalline MgScSnOs at its relaxed geometry.

ΔE_f, meV/atom: -171
VASP energy, eV/atom: -5.961

a = 6.617 Å, b = 6.617 Å, c = 6.617 Å
α = 90.00°, β = 90.00°, γ = 90.00°
Space group F-43m (No. 216)
Asymmetric unit:
Mg (0.000, 0.000, 0.000)
Sc (0.250, 0.250, 0.250)
Sn (0.250, 0.250, 0.750)
Os (0.000, 0.000, 0.500)



Which value of ΔE_f does entry 3 give? 240 meV/atom